DFT (GGA-PBE) results for an optimized crystal structure of ScW3Se.

## Properties
DOS(E_F) ... 5.37 states/eV/f.u.
Space-group type ... Pm-3m
ΔE to the lowest computed polymorph ... 0.00 kJ/mol of atoms
Crystal system ... cubic
Total magnetic moment ... 0.00 Bohr magnetons per cell

a b c (Å): 4.6343 4.6343 4.6343
angles (deg): 90.00 90.00 90.00
Element x y z (fractional)
Se 0.0000 0.0000 0.0000
W 0.5000 0.0000 0.0000
W 0.0000 0.5000 0.0000
W 0.0000 0.0000 0.5000
Sc 0.5000 0.5000 0.5000

***

DFT (GGA-PBE) results for an optimized crystal structure of PrZn2GaCu2.

## Properties
DOS(E_F) ... 3.89 states/eV/f.u.
Space-group type ... P4/mmm
Formation energy ... -0.046 eV/atom
Crystal system ... tetragonal
Total magnetic moment ... 0.00 Bohr magnetons per cell

a b c (Å): 4.4842 4.4842 5.7552
angles (deg): 90.00 90.00 90.00
Element x y z (fractional)
Pr 0.0000 0.0000 0.5000
Cu 0.5000 0.0000 0.0000
Cu 0.0000 0.5000 0.0000
Zn 0.5000 0.5000 0.7359
Zn 0.5000 0.5000 0.2641
Ga 0.0000 0.0000 0.0000